1.
DFT (PBE) results for a geometry-optimized Tl2Ga3SnAu12 structure.

Results
Energy of formation from the pure elements, eV per atom: 0.024
DOS at the Fermi energy, states/eV per cell: 8.5

a b c (Å): 9.7198 9.7198 9.7198
angles (deg): 44.42 44.42 44.42
Fractional coordinates of all 18 atoms:
Tl  0.1457  0.1457  0.1457
Tl  0.8543  0.8543  0.8543
Ga  0.0000  0.5000  0.5000
Ga  0.5000  0.0000  0.5000
Ga  0.5000  0.5000  0.0000
Sn  0.5000  0.5000  0.5000
Au  0.0860  0.0860  0.6917
Au  0.0860  0.6917  0.0860
Au  0.0940  0.6086  0.6086
Au  0.3083  0.9140  0.9140
Au  0.3914  0.3914  0.9060
Au  0.3914  0.9060  0.3914
Au  0.6086  0.0940  0.6086
Au  0.6086  0.6086  0.0940
Au  0.6917  0.0860  0.0860
Au  0.9060  0.3914  0.3914
Au  0.9140  0.3083  0.9140
Au  0.9140  0.9140  0.3083

2.
DFT (PBE) results for a geometry-optimized Ta6Nb3Mo structure.

Results
Energy of formation from the pure elements, eV per atom: -0.046
DOS at the Fermi energy, states/eV per cell: 26.6

a b c (Å): 8.1102 4.6595 9.8776
angles (deg): 90.00 105.60 90.00
Fractional coordinates of all 20 atoms:
Ta  0.0501  0.2500  0.3931
Ta  0.1448  0.7500  0.1927
Ta  0.1505  0.2500  0.6978
Ta  0.2418  0.2500  0.0007
Ta  0.3451  0.7500  0.8036
Ta  0.4496  0.2500  0.5991
Ta  0.5504  0.7500  0.4009
Ta  0.6549  0.2500  0.1964
Ta  0.7582  0.7500  0.9993
Ta  0.8495  0.7500  0.3022
Ta  0.8552  0.2500  0.8073
Ta  0.9499  0.7500  0.6069
Nb  0.2459  0.7500  0.5002
Nb  0.3527  0.2500  0.3007
Nb  0.4548  0.7500  0.1021
Nb  0.5452  0.2500  0.8979
Nb  0.6473  0.7500  0.6993
Nb  0.7541  0.2500  0.4998
Mo  0.0508  0.7500  0.8994
Mo  0.9492  0.2500  0.1006